KCa4Br | GGA-PBE | optimized geometry

Cell lengths 7.4272, 7.4272, 7.4272 Å; angles 60.00, 60.00, 60.00 degrees
Sites, in units of the cell vectors:
Ca 0.3758 0.3758 0.3758
Ca 0.8726 0.3758 0.3758
Ca 0.3758 0.8726 0.3758
Br 0.0000 0.0000 0.0000
K 0.7500 0.7500 0.7500
Ca 0.3758 0.3758 0.8726

Values from the calculation:
Its formation energy (no corrections) is 0.021 eV per atom. Its space-group type is F-43m. The value obtained for the total energy is -1.77 eV/atom.